Entry 1:
# LaMn2W, PBEsol geometry, DFT SCAN
# formation energy from the elements: 0.571 eV/atom
# total magnetic moment: 4.143 μB per formula unit
# crystal system: tetragonal
# space group: P4/mmm, No. 123
# Fermi-level density of states: 3.16 states/eV per cell
data_LaMn2W
_chemical_formula_sum 'La1 Mn2 W1'
_symmetry_space_group_name_H-M 'P 1'
_symmetry_Int_Tables_number 1
_cell_length_a 2.923
_cell_length_b 4.711
_cell_length_c 4.711
_cell_angle_alpha 90.00
_cell_angle_beta 90.00
_cell_angle_gamma 90.00
loop_
_symmetry_equiv_pos_as_xyz
'x,y,z'
loop_
_atom_site_label
_atom_site_type_symbol
_atom_site_fract_x
_atom_site_fract_y
_atom_site_fract_z
_atom_site_occupancy
W1 W 0.500 0.500 0.500 1
La1 La 0.500 0.000 0.000 1
Mn1 Mn 0.000 0.000 0.500 1
Mn2 Mn 0.000 0.500 0.000 1

---

Entry 2:
# Co2Mo3N, PBEsol geometry, DFT SCAN
# formation energy without anion corrections: -125 meV per atom
# total magnetic moment: 2.702 μB per formula unit
# crystal system: cubic
# space group: P4_132, No. 213
# Fermi-level density of states: 20.56 states/eV per cell
data_Co2Mo3N
_chemical_formula_sum 'Co8 Mo12 N4'
_symmetry_space_group_name_H-M 'P 1'
_symmetry_Int_Tables_number 1
_cell_length_a 6.568
_cell_length_b 6.568
_cell_length_c 6.568
_cell_angle_alpha 90.00
_cell_angle_beta 90.00
_cell_angle_gamma 90.00
loop_
_symmetry_equiv_pos_as_xyz
'x,y,z'
loop_
_atom_site_label
_atom_site_type_symbol
_atom_site_fract_x
_atom_site_fract_y
_atom_site_fract_z
_atom_site_occupancy
Co1 Co 0.182 0.818 0.318 1
Co2 Co 0.932 0.568 0.432 1
Co3 Co 0.682 0.682 0.682 1
Co4 Co 0.318 0.182 0.818 1
Co5 Co 0.432 0.932 0.568 1
Co6 Co 0.068 0.068 0.068 1
Co7 Co 0.568 0.432 0.932 1
Co8 Co 0.818 0.318 0.182 1
Mo1 Mo 0.049 0.875 0.701 1
Mo2 Mo 0.375 0.799 0.951 1
Mo3 Mo 0.625 0.299 0.549 1
Mo4 Mo 0.125 0.201 0.451 1
Mo5 Mo 0.549 0.625 0.299 1
Mo6 Mo 0.299 0.549 0.625 1
Mo7 Mo 0.799 0.951 0.375 1
Mo8 Mo 0.201 0.451 0.125 1
Mo9 Mo 0.951 0.375 0.799 1
Mo10 Mo 0.451 0.125 0.201 1
Mo11 Mo 0.875 0.701 0.049 1
Mo12 Mo 0.701 0.049 0.875 1
N1 N 0.625 0.875 0.125 1
N2 N 0.375 0.375 0.375 1
N3 N 0.875 0.125 0.625 1
N4 N 0.125 0.625 0.875 1

---

Entry 3:
# Ti2TcPt, PBEsol geometry, DFT SCAN
# formation energy from the elements: -0.942 eV/atom
# total magnetic moment: 0.000 μB per formula unit
# crystal system: cubic
# space group: Fm-3m, No. 225
# Fermi-level density of states: 3.11 states/eV per cell
data_Ti2TcPt
_chemical_formula_sum 'Ti2 Tc1 Pt1'
_symmetry_space_group_name_H-M 'P 1'
_symmetry_Int_Tables_number 1
_cell_length_a 4.364
_cell_length_b 4.364
_cell_length_c 4.364
_cell_angle_alpha 60.00
_cell_angle_beta 60.00
_cell_angle_gamma 60.00
loop_
_symmetry_equiv_pos_as_xyz
'x,y,z'
loop_
_atom_site_label
_atom_site_type_symbol
_atom_site_fract_x
_atom_site_fract_y
_atom_site_fract_z
_atom_site_occupancy
Ti1 Ti 0.250 0.250 0.250 1
Ti2 Ti 0.750 0.750 0.750 1
Tc1 Tc 0.000 0.000 0.000 1
Pt1 Pt 0.500 0.500 0.500 1

---

Entry 4:
# Zr3ZnCu2, PBEsol geometry, DFT SCAN
# formation energy from the elements: -0.203 eV/atom
# total magnetic moment: 0.000 μB per formula unit
# crystal system: cubic
# space group: Fd-3m, No. 227
# Fermi-level density of states: 24.62 states/eV per cell
data_Zr3ZnCu2
_chemical_formula_sum 'Zr12 Zn4 Cu8'
_symmetry_space_group_name_H-M 'P 1'
_symmetry_Int_Tables_number 1
_cell_length_a 8.304
_cell_length_b 8.304
_cell_length_c 8.304
_cell_angle_alpha 60.00
_cell_angle_beta 60.00
_cell_angle_gamma 60.00
loop_
_symmetry_equiv_pos_as_xyz
'x,y,z'
loop_
_atom_site_label
_atom_site_type_symbol
_atom_site_fract_x
_atom_site_fract_y
_atom_site_fract_z
_atom_site_occupancy
Zn1 Zn 0.125 0.125 0.125 1
Zn2 Zn 0.625 0.125 0.125 1
Zn3 Zn 0.125 0.125 0.625 1
Zn4 Zn 0.125 0.625 0.125 1
Cu1 Cu 0.330 0.330 0.010 1
Cu2 Cu 0.330 0.330 0.330 1
Cu3 Cu 0.920 0.920 0.240 1
Cu4 Cu 0.330 0.010 0.330 1
Cu5 Cu 0.240 0.920 0.920 1
Cu6 Cu 0.010 0.330 0.330 1
Cu7 Cu 0.920 0.240 0.920 1
Cu8 Cu 0.920 0.920 0.920 1
Zr1 Zr 0.697 0.697 0.303 1
Zr2 Zr 0.303 0.697 0.303 1
Zr3 Zr 0.303 0.303 0.697 1
Zr4 Zr 0.553 0.553 0.947 1
Zr5 Zr 0.947 0.947 0.553 1
Zr6 Zr 0.303 0.697 0.697 1
Zr7 Zr 0.553 0.947 0.947 1
Zr8 Zr 0.697 0.303 0.303 1
Zr9 Zr 0.697 0.303 0.697 1
Zr10 Zr 0.947 0.553 0.947 1
Zr11 Zr 0.947 0.553 0.553 1
Zr12 Zr 0.553 0.947 0.553 1

---

Entry 5:
# K4CoHg, PBEsol geometry, DFT SCAN
# formation energy from the elements: 0.626 eV/atom
# total magnetic moment: 1.941 μB per formula unit
# crystal system: cubic
# space group: F-43m, No. 216
# Fermi-level density of states: 2.71 states/eV per cell
data_K4CoHg
_chemical_formula_sum 'K4 Co1 Hg1'
_symmetry_space_group_name_H-M 'P 1'
_symmetry_Int_Tables_number 1
_cell_length_a 7.160
_cell_length_b 7.160
_cell_length_c 7.160
_cell_angle_alpha 60.00
_cell_angle_beta 60.00
_cell_angle_gamma 60.00
loop_
_symmetry_equiv_pos_as_xyz
'x,y,z'
loop_
_atom_site_label
_atom_site_type_symbol
_atom_site_fract_x
_atom_site_fract_y
_atom_site_fract_z
_atom_site_occupancy
K1 K 0.376 0.873 0.376 1
K2 K 0.376 0.376 0.376 1
K3 K 0.376 0.376 0.873 1
K4 K 0.873 0.376 0.376 1
Co1 Co 0.750 0.750 0.750 1
Hg1 Hg 0.000 0.000 0.000 1

---

Entry 6:
# PPt3Rh, PBEsol geometry, DFT SCAN
# formation energy from the elements: 0.476 eV/atom
# total magnetic moment: 0.007 μB per formula unit
# crystal system: cubic
# space group: Pm-3m, No. 221
# Fermi-level density of states: 6.86 states/eV per cell
data_PPt3Rh
_chemical_formula_sum 'P1 Pt3 Rh1'
_symmetry_space_group_name_H-M 'P 1'
_symmetry_Int_Tables_number 1
_cell_length_a 4.383
_cell_length_b 4.383
_cell_length_c 4.383
_cell_angle_alpha 90.00
_cell_angle_beta 90.00
_cell_angle_gamma 90.00
loop_
_symmetry_equiv_pos_as_xyz
'x,y,z'
loop_
_atom_site_label
_atom_site_type_symbol
_atom_site_fract_x
_atom_site_fract_y
_atom_site_fract_z
_atom_site_occupancy
Pt1 Pt 0.000 0.500 0.000 1
Pt2 Pt 0.000 0.000 0.500 1
Pt3 Pt 0.500 0.000 0.000 1
P1 P 0.000 0.000 0.000 1
Rh1 Rh 0.500 0.500 0.500 1

---

Entry 7:
# K3Rb, PBEsol geometry, DFT SCAN
# formation energy from the elements: 0.003 eV/atom
# total magnetic moment: 0.022 μB per formula unit
# crystal system: cubic
# space group: Fm-3m, No. 225
# Fermi-level density of states: 2.98 states/eV per cell
data_K3Rb
_chemical_formula_sum 'K3 Rb1'
_symmetry_space_group_name_H-M 'P 1'
_symmetry_Int_Tables_number 1
_cell_length_a 7.462
_cell_length_b 7.462
_cell_length_c 7.462
_cell_angle_alpha 60.00
_cell_angle_beta 60.00
_cell_angle_gamma 60.00
loop_
_symmetry_equiv_pos_as_xyz
'x,y,z'
loop_
_atom_site_label
_atom_site_type_symbol
_atom_site_fract_x
_atom_site_fract_y
_atom_site_fract_z
_atom_site_occupancy
K1 K 0.000 0.000 0.000 1
K2 K 0.250 0.250 0.250 1
K3 K 0.750 0.750 0.750 1
Rb1 Rb 0.500 0.500 0.500 1

---

Entry 8:
# PPtPb2, PBEsol geometry, DFT SCAN
# formation energy from the elements: -0.016 eV/atom
# total magnetic moment: 0.000 μB per formula unit
# crystal system: tetragonal
# space group: P4mm, No. 99
# Fermi-level density of states: 1.92 states/eV per cell
data_PPtPb2
_chemical_formula_sum 'P1 Pt1 Pb2'
_symmetry_space_group_name_H-M 'P 1'
_symmetry_Int_Tables_number 1
_cell_length_a 3.296
_cell_length_b 3.296
_cell_length_c 8.065
_cell_angle_alpha 90.00
_cell_angle_beta 90.00
_cell_angle_gamma 90.00
loop_
_symmetry_equiv_pos_as_xyz
'x,y,z'
loop_
_atom_site_label
_atom_site_type_symbol
_atom_site_fract_x
_atom_site_fract_y
_atom_site_fract_z
_atom_site_occupancy
P1 P 0.500 0.500 0.677 1
Pb1 Pb 0.000 0.000 0.954 1
Pb2 Pb 0.500 0.500 0.300 1
Pt1 Pt 0.000 0.000 0.569 1

---

Entry 9:
# HgOs2Se, PBEsol geometry, DFT SCAN
# formation energy without anion corrections: 1277 meV per atom
# total magnetic moment: 1.029 μB per formula unit
# crystal system: tetragonal
# space group: I-4m2, No. 119
# Fermi-level density of states: 3.62 states/eV per cell
data_HgOs2Se
_chemical_formula_sum 'Hg1 Os2 Se1'
_symmetry_space_group_name_H-M 'P 1'
_symmetry_Int_Tables_number 1
_cell_length_a 4.160
_cell_length_b 4.767
_cell_length_c 4.160
_cell_angle_alpha 64.13
_cell_angle_beta 90.00
_cell_angle_gamma 115.87
loop_
_symmetry_equiv_pos_as_xyz
'x,y,z'
loop_
_atom_site_label
_atom_site_type_symbol
_atom_site_fract_x
_atom_site_fract_y
_atom_site_fract_z
_atom_site_occupancy
Hg1 Hg 0.750 0.500 0.750 1
Se1 Se 0.500 0.000 0.500 1
Os1 Os 0.000 0.000 0.000 1
Os2 Os 0.250 0.500 0.250 1

---

Entry 10:
# NdSnAu2, PBEsol geometry, DFT SCAN
# formation energy from the elements: -0.799 eV/atom
# total magnetic moment: 0.000 μB per formula unit
# crystal system: cubic
# space group: Fm-3m, No. 225
# Fermi-level density of states: 1.18 states/eV per cell
data_NdSnAu2
_chemical_formula_sum 'Nd1 Sn1 Au2'
_symmetry_space_group_name_H-M 'P 1'
_symmetry_Int_Tables_number 1
_cell_length_a 4.976
_cell_length_b 4.976
_cell_length_c 4.976
_cell_angle_alpha 60.00
_cell_angle_beta 60.00
_cell_angle_gamma 60.00
loop_
_symmetry_equiv_pos_as_xyz
'x,y,z'
loop_
_atom_site_label
_atom_site_type_symbol
_atom_site_fract_x
_atom_site_fract_y
_atom_site_fract_z
_atom_site_occupancy
Nd1 Nd 0.500 0.500 0.500 1
Au1 Au 0.750 0.750 0.750 1
Au2 Au 0.250 0.250 0.250 1
Sn1 Sn 0.000 0.000 0.000 1

---

Entry 11:
# AlCo3N, PBEsol geometry, DFT SCAN
# formation energy without anion corrections: 2099 meV per atom
# total magnetic moment: 6.100 μB per formula unit
# crystal system: cubic
# space group: Pm-3m, No. 221
# Fermi-level density of states: 3.45 states/eV per cell
data_AlCo3N
_chemical_formula_sum 'Al1 Co3 N1'
_symmetry_space_group_name_H-M 'P 1'
_symmetry_Int_Tables_number 1
_cell_length_a 4.180
_cell_length_b 4.180
_cell_length_c 4.180
_cell_angle_alpha 90.00
_cell_angle_beta 90.00
_cell_angle_gamma 90.00
loop_
_symmetry_equiv_pos_as_xyz
'x,y,z'
loop_
_atom_site_label
_atom_site_type_symbol
_atom_site_fract_x
_atom_site_fract_y
_atom_site_fract_z
_atom_site_occupancy
N1 N 0.500 0.500 0.500 1
Co1 Co 0.000 0.000 0.500 1
Co2 Co 0.500 0.000 0.000 1
Co3 Co 0.000 0.500 0.000 1
Al1 Al 0.000 0.000 0.000 1

---

Entry 12:
# HgPIrCl2, PBEsol geometry, DFT SCAN
# formation energy without anion corrections: 1458 meV per atom
# total magnetic moment: 1.577 μB per formula unit
# crystal system: tetragonal
# space group: P4/mmm, No. 123
# Fermi-level density of states: 2.33 states/eV per cell
data_HgPIrCl2
_chemical_formula_sum 'Hg1 P1 Ir1 Cl2'
_symmetry_space_group_name_H-M 'P 1'
_symmetry_Int_Tables_number 1
_cell_length_a 4.850
_cell_length_b 4.850
_cell_length_c 5.153
_cell_angle_alpha 90.00
_cell_angle_beta 90.00
_cell_angle_gamma 90.00
loop_
_symmetry_equiv_pos_as_xyz
'x,y,z'
loop_
_atom_site_label
_atom_site_type_symbol
_atom_site_fract_x
_atom_site_fract_y
_atom_site_fract_z
_atom_site_occupancy
P1 P 0.000 0.000 0.500 1
Ir1 Ir 0.500 0.500 0.500 1
Hg1 Hg 0.000 0.000 0.000 1
Cl1 Cl 0.500 0.000 0.000 1
Cl2 Cl 0.000 0.500 0.000 1